VASP calculation (PBE-GGA) on a relaxed Sr2ZrW crystal.

Its energy relative to the lowest polymorph listed for this composition is 226 meV/atom. Its electronic total energy is -5.471 eV per atom. The formation energy comes out at 745 meV/atom. The calculation puts the volume at 33.6 Å³ per atom. Its density of states at the Fermi level is 4.86 states/eV/cell.

abc: 4.8626 4.8626 8.6470
angles: 93.50 93.50 41.15
Closest atoms and distances in Å follow each position.
Fractional coordinates of all 4 atoms:
Sr 0.0000 0.0000 0.0000  3 Zr 3.33-3.60, 2 Sr 3.42, 2 W 3.43
Sr 0.2240 0.2240 0.6068  3 W 3.40-3.49, 2 Zr 3.42, 2 Sr 3.42
Zr 0.7545 0.7545 0.2684  3 W 2.57-2.76
W 0.4858 0.4858 0.3430  3 Zr 2.57-2.76

VASP calculation (PBE-GGA) on a relaxed Sr2ZrW crystal.

Its energy relative to the lowest polymorph listed for this composition is 229 meV/atom. Its electronic total energy is -5.469 eV per atom. The formation energy comes out at 748 meV/atom. The calculation puts the volume at 32.1 Å³ per atom. Its density of states at the Fermi level is 3.48 states/eV/cell.

abc: 3.2930 4.5936 8.5594
angles: 90.00 98.03 90.00
Closest atoms and distances in Å follow each position.
Fractional coordinates of all 4 atoms:
Sr 0.0000 0.0000 0.0000  2 Sr 3.29, 2 Zr 3.32-3.56, 2 W 3.36
Sr 0.3067 0.5000 0.6211  2 Sr 3.29, 2 W 3.30-3.64, 2 Zr 3.41
Zr 0.5535 0.0000 0.3549  2 W 2.58
W 0.7874 0.5000 0.2628  2 Zr 2.58

VASP calculation (PBE-GGA) on a relaxed SrZr2W crystal.

Its energy relative to the lowest polymorph listed for this composition is 391 meV/atom. Its electronic total energy is -7.247 eV per atom. The formation energy comes out at 686 meV/atom. The calculation puts the volume at 25.7 Å³ per atom. Its density of states at the Fermi level is 4.94 states/eV/cell.

abc: 5.2484 5.2484 6.6827
angles: 92.21 92.21 34.04
Closest atoms and distances in Å follow each position.
Fractional coordinates of all 4 atoms:
Sr 0.0000 0.0000 0.0000  2 Sr 3.07, 1 W 3.30, 1 Zr 3.34
Zr 0.5027 0.5027 0.5286  3 W 2.82-3.06, 5 Zr 2.95-3.11
Zr 0.7613 0.7613 0.3342  2 W 2.84, 5 Zr 2.95-3.11
W 0.2478 0.2478 0.6905  5 Zr 2.82-3.06, 2 W 3.07

VASP calculation (PBE-GGA) on a relaxed SrZrW3 crystal.

Its energy relative to the lowest polymorph listed for this composition is 0 meV/atom. Its electronic total energy is -7.710 eV per atom. The formation energy comes out at 2108 meV/atom. The calculation puts the volume at 24.7 Å³ per atom. Its density of states at the Fermi level is 3.60 states/eV/cell.

abc: 4.9785 4.9785 4.9785
angles: 90.00 90.00 90.00
Closest atoms and distances in Å follow each position.
Fractional coordinates of all 5 atoms:
Sr 0.0000 0.0000 0.0000  12 W 3.52
Zr 0.5000 0.5000 0.5000  6 W 2.49
W 0.0000 0.5000 0.5000  2 Zr 2.49
W 0.5000 0.0000 0.5000  2 Zr 2.49
W 0.5000 0.5000 0.0000  2 Zr 2.49

VASP calculation (PBE-GGA) on a relaxed Sr2ZrW crystal.

Its energy relative to the lowest polymorph listed for this composition is 870 meV/atom. Its electronic total energy is -4.827 eV per atom. The formation energy comes out at 1389 meV/atom. The calculation puts the volume at 29.4 Å³ per atom. Its density of states at the Fermi level is 8.55 states/eV/cell.

abc: 5.5002 5.5002 5.5002
angles: 60.00 60.00 60.00
Closest atoms and distances in Å follow each position.
Fractional coordinates of all 4 atoms:
Sr 0.2500 0.2500 0.2500  4 Zr 3.37, 4 W 3.37
Sr 0.7500 0.7500 0.7500  4 Zr 3.37, 4 W 3.37
Zr 0.0000 0.0000 0.0000  8 Sr 3.37
W 0.5000 0.5000 0.5000  8 Sr 3.37

VASP calculation (PBE-GGA) on a relaxed SrZr4W crystal.

Its electronic total energy is -7.300 eV per atom. The formation energy comes out at 837 meV/atom. The calculation puts the volume at 24.1 Å³ per atom. Its density of states at the Fermi level is 12.69 states/eV/cell.

abc: 5.8899 5.8899 5.8899
angles: 60.00 60.00 60.00
Closest atoms and distances in Å follow each position.
Fractional coordinates of all 6 atoms:
Sr 0.0000 0.0000 0.0000  12 Zr 3.46, 4 W 3.61
Zr 0.3778 0.3778 0.3778  6 Zr 2.88-3.01
Zr 0.3778 0.3778 0.8667  6 Zr 2.88-3.01
Zr 0.3778 0.8667 0.3778  6 Zr 2.88-3.01
Zr 0.8667 0.3778 0.3778  6 Zr 2.88-3.01
W 0.7500 0.7500 0.7500  12 Zr 3.45, 4 Sr 3.61

VASP calculation (PBE-GGA) on a relaxed SrZr2W crystal.

Its energy relative to the lowest polymorph listed for this composition is 383 meV/atom. Its electronic total energy is -7.255 eV per atom. The formation energy comes out at 678 meV/atom. The calculation puts the volume at 23.5 Å³ per atom. Its density of states at the Fermi level is 3.86 states/eV/cell.

abc: 2.9735 2.9735 10.6518
angles: 90.00 90.00 90.00
Closest atoms and distances in Å follow each position.
Fractional coordinates of all 4 atoms:
Sr 0.0000 0.0000 0.0000  4 Sr 2.97
Zr 0.0000 0.0000 0.4630  8 Zr 2.97-3.24, 4 W 3.11
Zr 0.5000 0.5000 0.6941  8 Zr 2.97-3.24
W 0.5000 0.5000 0.2479  4 W 2.97, 4 Zr 3.11

VASP calculation (PBE-GGA) on a relaxed SrZr2W crystal.

Its energy relative to the lowest polymorph listed for this composition is 559 meV/atom. Its electronic total energy is -7.079 eV per atom. The formation energy comes out at 853 meV/atom. The calculation puts the volume at 23.0 Å³ per atom. Its density of states at the Fermi level is 5.23 states/eV/cell.

abc: 5.9003 5.9003 2.8918
angles: 90.00 90.00 114.16
Closest atoms and distances in Å follow each position.
Fractional coordinates of all 4 atoms:
Sr 0.0000 0.0000 0.0000  2 Sr 2.89, 2 W 3.21
Zr 0.0000 0.5000 0.5000  4 Zr 2.89-3.21
Zr 0.5000 0.0000 0.5000  4 Zr 2.89-3.21
W 0.5000 0.5000 0.0000  2 W 2.89, 2 Sr 3.21

VASP calculation (PBE-GGA) on a relaxed SrZr2W crystal.

Its energy relative to the lowest polymorph listed for this composition is 598 meV/atom. Its electronic total energy is -7.040 eV per atom. The formation energy comes out at 893 meV/atom. The calculation puts the volume at 23.2 Å³ per atom. Its density of states at the Fermi level is 4.63 states/eV/cell.

abc: 5.7952 5.7952 5.7952
angles: 136.00 136.00 63.99
Closest atoms and distances in Å follow each position.
Fractional coordinates of all 4 atoms:
Sr 0.0000 0.0000 0.0000  8 Zr 3.07-3.28, 4 W 3.28
Zr 0.5000 0.5000 0.0000  4 Sr 3.07, 4 Zr 3.28, 4 W 3.28
Zr 0.7500 0.2500 0.5000  4 W 3.07, 4 Zr 3.28, 4 Sr 3.28
W 0.2500 0.7500 0.5000  8 Zr 3.07-3.28, 4 Sr 3.28

VASP calculation (PBE-GGA) on a relaxed SrZr2W crystal.

Its energy relative to the lowest polymorph listed for this composition is 249 meV/atom. Its electronic total energy is -7.389 eV per atom. The formation energy comes out at 544 meV/atom. The calculation puts the volume at 26.4 Å³ per atom. Its density of states at the Fermi level is 3.12 states/eV/cell.

abc: 4.6823 4.6823 7.4213
angles: 94.42 94.42 40.64
Closest atoms and distances in Å follow each position.
Fractional coordinates of all 4 atoms:
Sr 0.0000 0.0000 0.0000  2 Sr 3.25, 6 Zr 3.27-3.63
Zr 0.2302 0.2302 0.6746  3 W 2.79-2.82, 2 Zr 3.10
Zr 0.7698 0.7698 0.3254  3 W 2.79-2.82, 2 Zr 3.10
W 0.5000 0.5000 0.5000  6 Zr 2.79-2.82

VASP calculation (PBE-GGA) on a relaxed Sr3Y crystal.

Its energy relative to the lowest polymorph listed for this composition is 1 meV/atom. Its electronic total energy is -2.739 eV per atom. The formation energy comes out at 139 meV/atom. The calculation puts the volume at 46.5 Å³ per atom. Its density of states at the Fermi level is 4.58 states/eV/cell.

abc: 4.2712 4.2712 10.1894
angles: 90.00 90.00 90.00
Closest atoms and distances in Å follow each position.
Fractional coordinates of all 4 atoms:
Sr 0.0000 0.0000 0.0000  12 Sr 4.16-4.27
Sr 0.5000 0.5000 0.2807  4 Y 3.76, 4 Sr 4.16
Sr 0.5000 0.5000 0.7193  4 Y 3.76, 4 Sr 4.16
Y 0.0000 0.0000 0.5000  8 Sr 3.76

VASP calculation (PBE-GGA) on a relaxed SrY2 crystal.

Its energy relative to the lowest polymorph listed for this composition is 42 meV/atom. Its electronic total energy is -4.697 eV per atom. The formation energy comes out at 173 meV/atom. The calculation puts the volume at 37.4 Å³ per atom. Its density of states at the Fermi level is 9.66 states/eV/cell.

abc: 7.1999 7.1999 8.9178
angles: 104.53 104.53 30.22
Closest atoms and distances in Å follow each position.
Fractional coordinates of all 6 atoms:
Sr 0.0000 0.0000 0.0000  8 Y 3.62-3.89, 4 Sr 3.75-3.84
Sr 0.6663 0.6663 0.3474  8 Y 3.71-4.03, 4 Sr 3.75-3.84
Y 0.0476 0.0476 0.6193  3 Sr 3.62-3.77, 9 Y 3.63-3.89
Y 0.3342 0.3342 0.6693  8 Y 3.59-3.89, 4 Sr 3.71-3.74
Y 0.3839 0.3839 0.2894  7 Y 3.63-3.84, 5 Sr 3.71-3.87
Y 0.7302 0.7302 0.9320  8 Y 3.59-3.84, 3 Sr 3.64-3.89

VASP calculation (PBE-GGA) on a relaxed SrY crystal.

Its energy relative to the lowest polymorph listed for this composition is 82 meV/atom. Its electronic total energy is -3.881 eV per atom. The formation energy comes out at 191 meV/atom. The calculation puts the volume at 40.8 Å³ per atom. Its density of states at the Fermi level is 8.93 states/eV/cell.

abc: 7.5758 7.5758 8.9630
angles: 104.45 104.45 29.50
Closest atoms and distances in Å follow each position.
Fractional coordinates of all 6 atoms:
Sr 0.0000 0.0000 0.0000  7 Y 3.73-4.15, 5 Sr 3.80-3.93
Sr 0.0518 0.0518 0.6064  5 Sr 3.80-3.93, 7 Y 3.94-3.99
Sr 0.6781 0.6781 0.3334  5 Y 3.71-3.86, 6 Sr 3.86-3.93
Y 0.3314 0.3314 0.6749  5 Y 3.58-3.93, 7 Sr 3.82-3.98
Y 0.3788 0.3788 0.2629  5 Y 3.64-3.93, 6 Sr 3.71-3.95
Y 0.7387 0.7387 0.9393  6 Y 3.58-3.86, 4 Sr 3.73-3.99

VASP calculation (PBE-GGA) on a relaxed SrY2 crystal.

Its energy relative to the lowest polymorph listed for this composition is 151 meV/atom. Its electronic total energy is -4.589 eV per atom. The formation energy comes out at 281 meV/atom. The calculation puts the volume at 37.0 Å³ per atom. Its density of states at the Fermi level is 11.35 states/eV/cell.

abc: 5.9552 5.9552 7.2267
angles: 90.00 90.00 120.00
Closest atoms and distances in Å follow each position.
Fractional coordinates of all 6 atoms:
Sr 0.3333 0.6667 0.2500  5 Y 3.44-3.61
Sr 0.6667 0.3333 0.7500  5 Y 3.44-3.61
Y 0.0000 0.0000 0.0000  8 Y 3.61-3.88, 6 Sr 3.88
Y 0.0000 0.0000 0.5000  8 Y 3.61-3.88, 6 Sr 3.88
Y 0.3333 0.6667 0.7500  5 Sr 3.44-3.61
Y 0.6667 0.3333 0.2500  5 Sr 3.44-3.61